(1)
The following is a PBE calculation of crystalline Rb2TmBSe4 at its relaxed geometry, from Alexandria via LeMat-Bulk.

Properties
Total moment   0.000 μB per atom
DFT total energy   -4.380 eV/atom

Cell: 14.6713 13.0506 7.9221 Å, 85.05 62.40 32.54°
Atoms (fractional coordinates):
Rb 0.0550 0.0550 0.6950
Rb 0.3050 0.3050 0.9450
Rb 0.6950 0.6950 0.0550
Rb 0.9450 0.9450 0.3050
Tm 0.1250 0.1250 0.1250
Tm 0.8750 0.8750 0.8750
B 0.3750 0.3750 0.3750
B 0.6250 0.6250 0.6250
Se 0.0505 0.5979 0.5211
Se 0.3305 0.5211 0.5979
Se 0.4021 0.9495 0.6695
Se 0.4789 0.6695 0.9495
Se 0.5211 0.3305 0.0505
Se 0.5979 0.0505 0.3305
Se 0.6695 0.4789 0.4021
Se 0.9495 0.4021 0.4789

=====

(2)
The following is a PBE calculation of crystalline RbZnBSe2 at its relaxed geometry, from Alexandria via LeMat-Bulk.

Properties
Total moment   0.000 μB per atom
DFT total energy   -2.988 eV/atom

Cell: 5.0569 5.0569 4.2353 Å, 90.00 90.00 90.00°
Atoms (fractional coordinates):
Rb 0.0000 0.0000 0.0000
Zn 0.5000 0.5000 0.0000
B 0.5000 0.5000 0.5000
Se 0.0000 0.5000 0.5000
Se 0.5000 0.0000 0.5000

=====

(3)
The following is a PBE calculation of crystalline Rb2ZrBSe at its relaxed geometry, from Alexandria via LeMat-Bulk.

Properties
Total moment   0.690 μB per atom
DFT total energy   -3.036 eV/atom

Cell: 6.9901 6.9901 3.9278 Å, 90.00 90.00 90.00°
Atoms (fractional coordinates):
Rb 0.0000 0.5000 0.0000
Rb 0.5000 0.0000 0.0000
Zr 0.0000 0.0000 0.5000
B 0.5000 0.5000 0.5000
Se 0.5000 0.5000 0.0000

=====

(4)
The following is a PBE calculation of crystalline RbSi2B at its relaxed geometry, from Alexandria via LeMat-Bulk.

Properties
Total moment   0.000 μB per atom
DFT total energy   -4.034 eV/atom

Cell: 7.8041 7.8041 7.8041 Å, 142.30 142.30 54.37°
Atoms (fractional coordinates):
Rb 0.3750 0.6250 0.7500
Rb 0.6250 0.3750 0.2500
Si 0.0000 0.0000 0.0000
Si 0.0000 0.0000 0.5000
Si 0.0000 0.5000 0.0000
Si 0.5000 0.0000 0.5000
B 0.1250 0.8750 0.2500
B 0.8750 0.1250 0.7500

=====

(5)
The following is a PBE calculation of crystalline RbZrSi2B at its relaxed geometry, from Alexandria via LeMat-Bulk.

Properties
Total moment   0.035 μB per atom
DFT total energy   -4.604 eV/atom

Cell: 4.5839 4.5839 4.7067 Å, 90.00 90.00 90.00°
Atoms (fractional coordinates):
Rb 0.0000 0.0000 0.0000
Zr 0.5000 0.5000 0.0000
Si 0.0000 0.5000 0.5000
Si 0.5000 0.0000 0.5000
B 0.5000 0.5000 0.5000

=====

(6)
The following is a PBE calculation of crystalline Rb2Sn2B at its relaxed geometry, from Alexandria via LeMat-Bulk.

Properties
Total moment   0.434 μB per atom
DFT total energy   -2.534 eV/atom
Energy relative to the lowest polymorph listed for this composition   0.000 eV/f.u.
ΔE_f   0.790 eV/atom

Cell: 11.2620 11.2620 11.2620 Å, 158.46 158.46 30.65°
Atoms (fractional coordinates):
Rb 0.0893 0.0893 0.0000
Rb 0.9107 0.9107 0.0000
Sn 0.2500 0.7500 0.5000
Sn 0.7500 0.2500 0.5000
B 0.5000 0.5000 0.0000

=====

(7)
The following is a PBE calculation of crystalline RbSn3B at its relaxed geometry, from Alexandria via LeMat-Bulk.

Properties
Total moment   0.000 μB per atom
DFT total energy   -1.728 eV/atom
Energy relative to the lowest polymorph listed for this composition   8.293 eV/f.u.
ΔE_f   2.203 eV/atom

Cell: 6.0999 6.0999 6.0999 Å, 90.00 90.00 90.00°
Atoms (fractional coordinates):
Rb 0.0000 0.0000 0.0000
Sn 0.0000 0.0000 0.5000
Sn 0.0000 0.5000 0.0000
Sn 0.5000 0.0000 0.0000
B 0.5000 0.5000 0.5000

=====

(8)
The following is a PBE calculation of crystalline Rb2Sn2B at its relaxed geometry, from Alexandria via LeMat-Bulk.

Properties
Total moment   0.133 μB per atom
DFT total energy   -2.309 eV/atom
Energy relative to the lowest polymorph listed for this composition   1.126 eV/f.u.
ΔE_f   1.015 eV/atom

Cell: 10.9217 10.9217 3.3728 Å, 90.00 90.00 90.00°
Atoms (fractional coordinates):
Rb 0.2050 0.2950 0.0000
Rb 0.2950 0.7950 0.0000
Rb 0.7050 0.2050 0.0000
Rb 0.7950 0.7050 0.0000
Sn 0.0908 0.5908 0.5000
Sn 0.4092 0.0908 0.5000
Sn 0.5908 0.9092 0.5000
Sn 0.9092 0.4092 0.5000
B 0.0000 0.0000 0.0000
B 0.5000 0.5000 0.0000

=====

(9)
The following is a PBE calculation of crystalline RbSn3B at its relaxed geometry, from Alexandria via LeMat-Bulk.

Properties
Total moment   0.000 μB per atom
DFT total energy   -3.387 eV/atom
Energy relative to the lowest polymorph listed for this composition   0.000 eV/f.u.
ΔE_f   0.544 eV/atom

Cell: 5.1568 5.1568 5.1568 Å, 90.00 90.00 90.00°
Atoms (fractional coordinates):
Rb 0.0000 0.0000 0.0000
Sn 0.0000 0.5000 0.5000
Sn 0.5000 0.0000 0.5000
Sn 0.5000 0.5000 0.0000
B 0.5000 0.5000 0.5000

=====

(10)
The following is a PBE calculation of crystalline RbSnB2 at its relaxed geometry, from Alexandria via LeMat-Bulk.

Properties
Total moment   0.000 μB per atom
DFT total energy   -3.416 eV/atom
ΔE_f   1.166 eV/atom

Cell: 8.2855 8.2855 8.2855 Å, 144.64 144.64 50.87°
Atoms (fractional coordinates):
Rb 0.3750 0.6250 0.7500
Rb 0.6250 0.3750 0.2500
Sn 0.1250 0.8750 0.2500
Sn 0.8750 0.1250 0.7500
B 0.0000 0.0000 0.0000
B 0.0000 0.0000 0.5000
B 0.0000 0.5000 0.0000
B 0.5000 0.0000 0.5000

=====

(11)
The following is a PBE calculation of crystalline Rb3SnB at its relaxed geometry, from Alexandria via LeMat-Bulk.

Properties
Total moment   0.457 μB per atom
DFT total energy   -1.774 eV/atom
Energy relative to the lowest polymorph listed for this composition   0.000 eV/f.u.
ΔE_f   0.943 eV/atom

Cell: 6.2511 6.2511 6.2511 Å, 90.00 90.00 90.00°
Atoms (fractional coordinates):
Rb 0.0000 0.0000 0.5000
Rb 0.0000 0.5000 0.0000
Rb 0.5000 0.0000 0.0000
Sn 0.5000 0.5000 0.5000
B 0.0000 0.0000 0.0000

=====

(12)
The following is a PBE calculation of crystalline Rb2TaSnB at its relaxed geometry, from Alexandria via LeMat-Bulk.

Properties
Total moment   0.802 μB per atom
DFT total energy   -3.217 eV/atom
ΔE_f   1.676 eV/atom

Cell: 7.1931 7.1931 4.0011 Å, 90.00 90.00 90.00°
Atoms (fractional coordinates):
Rb 0.0000 0.5000 0.0000
Rb 0.5000 0.0000 0.0000
Ta 0.0000 0.0000 0.5000
Sn 0.5000 0.5000 0.0000
B 0.5000 0.5000 0.5000

=====

Please write out number 8 again, unchanged.
The following is a PBE calculation of crystalline Rb2Sn2B at its relaxed geometry, from Alexandria via LeMat-Bulk.

Properties
Total moment   0.133 μB per atom
DFT total energy   -2.309 eV/atom
Energy relative to the lowest polymorph listed for this composition   1.126 eV/f.u.
ΔE_f   1.015 eV/atom

Cell: 10.9217 10.9217 3.3728 Å, 90.00 90.00 90.00°
Atoms (fractional coordinates):
Rb 0.2050 0.2950 0.0000
Rb 0.2950 0.7950 0.0000
Rb 0.7050 0.2050 0.0000
Rb 0.7950 0.7050 0.0000
Sn 0.0908 0.5908 0.5000
Sn 0.4092 0.0908 0.5000
Sn 0.5908 0.9092 0.5000
Sn 0.9092 0.4092 0.5000
B 0.0000 0.0000 0.0000
B 0.5000 0.5000 0.0000

=====

Copy entry 6 word for word.
The following is a PBE calculation of crystalline Rb2Sn2B at its relaxed geometry, from Alexandria via LeMat-Bulk.

Properties
Total moment   0.434 μB per atom
DFT total energy   -2.534 eV/atom
Energy relative to the lowest polymorph listed for this composition   0.000 eV/f.u.
ΔE_f   0.790 eV/atom

Cell: 11.2620 11.2620 11.2620 Å, 158.46 158.46 30.65°
Atoms (fractional coordinates):
Rb 0.0893 0.0893 0.0000
Rb 0.9107 0.9107 0.0000
Sn 0.2500 0.7500 0.5000
Sn 0.7500 0.2500 0.5000
B 0.5000 0.5000 0.0000

=====

> Which value of DFT total energy does entry 6 give?

-2.534 eV/atom